Density functional theory data (PBE) for a geometry-optimized Rb2ReSiCl6 structure.

extended XYZ file:
```
10
Lattice="7.772 0.000 0.000 0.000 7.772 0.000 3.886 3.886 4.547" Properties=species:S:1:pos:R:3 pbc="T T T"
Re 0.000 0.000 0.000
Si 3.886 3.886 0.000
Rb 7.772 3.886 2.273
Rb 3.886 7.772 2.273
Cl 3.886 3.886 2.243
Cl 7.772 7.772 2.304
Cl 1.727 1.727 0.000
Cl 6.045 6.045 0.000
Cl 6.045 1.727 0.000
Cl 1.727 6.045 0.000
```

Properties
**Uncorrected formation energy**: -0.792 eV/atom
**DFT total energy**: -3.88 eV/atom
**D(E_F)**: 0.23 states/eV per atom
**Total magnetization**: 1.0 Bohr magnetons per cell

Density functional theory data (PBE) for a geometry-optimized Rb2SrReCl structure.

extended XYZ file:
```
5
Lattice="-6.994 2.532 -0.157 -0.005 -0.341 -5.289 -2.537 -6.979 0.452" Properties=species:S:1:pos:R:3 pbc="T T T"
Re -0.002 -0.171 -2.645
Cl -4.768 -2.394 -2.497
Rb -1.269 -3.490 0.226
Rb -3.497 1.266 -0.078
Sr 0.000 0.000 0.000
```

Properties
**Uncorrected formation energy**: 0.975 eV/atom
**DFT total energy**: -2.61 eV/atom
**D(E_F)**: 0.79 states/eV per atom
**Total magnetization**: 2.1 Bohr magnetons per cell

Density functional theory data (PBE) for a geometry-optimized Rb2SrReCl6 structure.

extended XYZ file:
```
10
Lattice="-3.325 -3.188 5.850 1.486 -6.728 -2.822 3.672 -5.024 4.089" Properties=species:S:1:pos:R:3 pbc="T T T"
Re 0.000 0.000 0.000
Cl 1.550 -4.993 2.898
Cl 0.284 -9.947 4.218
Cl -0.425 -2.292 0.700
Cl -1.414 -7.624 2.328
Cl -2.213 -4.006 3.846
Cl 0.374 -5.910 -0.817
Rb -0.286 -6.585 5.726
Rb 2.120 -8.355 1.390
Sr -0.920 -4.958 1.514
```

Properties
**Uncorrected formation energy**: -1.382 eV/atom
**DFT total energy**: -4.10 eV/atom
**D(E_F)**: 1.04 states/eV per atom
**Total magnetization**: 1.0 Bohr magnetons per cell

Density functional theory data (PBE) for a geometry-optimized Rb2TiReCl6 structure.

extended XYZ file:
```
10
Lattice="7.249 0.000 0.000 0.000 7.249 0.000 3.625 3.625 4.547" Properties=species:S:1:pos:R:3 pbc="T T T"
Re 0.000 0.000 0.000
Cl 3.625 3.625 2.263
Cl 7.249 7.249 2.284
Cl 1.765 1.765 0.000
Cl 5.484 5.484 0.000
Cl 5.484 1.765 0.000
Cl 1.765 5.484 0.000
Rb 7.249 3.625 2.273
Rb 3.625 7.249 2.273
Ti 3.625 3.625 0.000
```

Properties
**Uncorrected formation energy**: -1.012 eV/atom
**DFT total energy**: -4.35 eV/atom
**D(E_F)**: 0.40 states/eV per atom
**Total magnetization**: 1.0 Bohr magnetons per cell

Density functional theory data (PBE) for a geometry-optimized Rb2TlReCl8 structure.

extended XYZ file:
```
12
Lattice="7.246 -0.100 -0.045 -0.100 6.557 0.046 -0.048 0.080 9.033" Properties=species:S:1:pos:R:3 pbc="T T T"
Rb 3.534 3.185 6.884
Rb 3.564 3.352 2.149
Tl -0.024 0.040 4.516
Re 0.000 0.000 0.000
Cl 0.599 5.101 1.761
Cl 5.006 5.443 8.941
Cl 6.412 1.341 1.617
Cl 6.500 1.436 7.273
Cl 2.092 1.094 0.093
Cl 0.686 5.196 7.416
Cl 4.875 4.858 4.574
Cl 2.223 1.679 4.459
```

Properties
**Uncorrected formation energy**: -1.089 eV/atom
**DFT total energy**: -3.72 eV/atom
**D(E_F)**: 0.54 states/eV per atom
**Total magnetization**: 2.0 Bohr magnetons per cell

Density functional theory data (PBE) for a geometry-optimized Rb2TlReCl6 structure.

extended XYZ file:
```
10
Lattice="-4.522 -0.420 -6.209 5.903 -2.721 -4.115 -0.704 -6.650 -3.803" Properties=species:S:1:pos:R:3 pbc="T T T"
Re 0.690 -1.570 -5.162
Tl 0.000 0.000 0.000
Rb -2.268 -4.320 -7.587
Rb 2.945 -5.471 -6.540
Cl 0.074 -3.818 -4.561
Cl 0.604 -5.973 -9.567
Cl 0.385 -0.876 -2.878
Cl 0.996 -2.265 -7.446
Cl -1.616 -1.062 -5.625
Cl 2.997 -2.079 -4.699
```

Properties
**Uncorrected formation energy**: -1.115 eV/atom
**DFT total energy**: -3.90 eV/atom
**D(E_F)**: 0.73 states/eV per atom
**Total magnetization**: 2.0 Bohr magnetons per cell